PBE LiTb2Er, relaxed; distance to the lowest polymorph of the same formula = 99 meV/atom; calculated formation energy = 0.67 eV per formula unit; total moment = 0.0 μB/f.u.
1.0
5.465 0.000 0.000
2.732 4.733 0.000
2.732 1.578 4.462
Li Er Tb
1 1 2
Cartesian
5.465 3.155 2.231
0.000 0.000 0.000
8.197 4.733 3.347
2.732 1.578 1.116